This record from the Alexandria database describes an optimized crystal structure of CuSbNO2. The functional is PBE.

The calculation puts the total DFT energy (no corrections) at -25.0 eV/cell. As for the energy relative to the elements, uncorrected: 0.29 eV/atom.

The space group is P4/mmm (No. 123) and the conventional cell measures 3.793, 3.793 and 3.880 Å, with angles of 90.00, 90.00 and 90.00 degrees. The asymmetric unit holds Cu at (0.000, 0.000, 0.000), Sb at (0.500, 0.500, 0.500), N at (0.000, 0.000, 0.500) and O at (0.000, 0.500, 0.000).